# Li2Sn3Au8 PBE-GGA optimized geometry
# Energy relative to the elements in kcal/mol of atoms: -3.03
# Energy in eV per atom: -3.366
data_Li2Sn3Au8
_cell_length_a 5.4330
_cell_length_b 5.4330
_cell_length_c 34.2170
_cell_angle_alpha 90.00
_cell_angle_beta 90.00
_cell_angle_gamma 120.00
_symmetry_space_group_name_H-M 'R -3 m'
_symmetry_Int_Tables_number 166
_symmetry_space_group_name_Hall '-R 3 2"'
loop_
_atom_site_label
_atom_site_type_symbol
_atom_site_fract_x
_atom_site_fract_y
_atom_site_fract_z
Li1 Li 0.0000 0.0000 0.1084
Sn1 Sn 0.0000 0.0000 0.2644
Sn2 Sn 0.0000 0.0000 0.5000
Au1 Au 0.0000 0.0000 0.1856
Au2 Au 0.0014 0.5007 0.2935